Compound: YAs2RuRh5
Source: Alexandria via LeMat-Bulk
Functional: PBE
Structure: optimized geometry

Values from the calculation:
Energy of formation ... 0.046 eV per atom
M_tot ... 2.109 μB/cell
E ... -61.38 eV/cell

CIF file:
```
data_YAs2RuRh5
_cell_length_a 3.994
_cell_length_b 3.994
_cell_length_c 11.731
_cell_angle_alpha 90.00
_cell_angle_beta 90.00
_cell_angle_gamma 90.00
_space_group_name_H-M_alt 'P 1'
_space_group_IT_number 1
loop_
_space_group_symop_operation_xyz
'x,y,z'
loop_
_atom_site_label
_atom_site_type_symbol
_atom_site_fract_x
_atom_site_fract_y
_atom_site_fract_z
Rh1 Rh 0.000 0.000 0.500
Rh2 Rh 0.000 0.500 0.680
Rh3 Rh 0.500 0.000 0.320
Rh4 Rh 0.500 0.000 0.680
Rh5 Rh 0.000 0.500 0.320
Y1 Y 0.500 0.500 0.500
As1 As 0.000 0.000 0.798
As2 As 0.000 0.000 0.202
Ru1 Ru 0.000 0.000 0.000
```



Compound: Nd4YHg4
Source: Alexandria via LeMat-Bulk
Functional: PBE
Structure: optimized geometry

Values from the calculation:
Energy of formation ... -0.265 eV per atom
M_tot ... 0.000 μB/cell
E ... -58.25 eV/cell

CIF file:
```
data_Nd4YHg4
_cell_length_a 5.732
_cell_length_b 9.650
_cell_length_c 9.650
_cell_angle_alpha 90.00
_cell_angle_beta 90.00
_cell_angle_gamma 90.00
_space_group_name_H-M_alt 'P 1'
_space_group_IT_number 1
loop_
_space_group_symop_operation_xyz
'x,y,z'
loop_
_atom_site_label
_atom_site_type_symbol
_atom_site_fract_x
_atom_site_fract_y
_atom_site_fract_z
Hg1 Hg 0.610 0.102 0.802
Hg2 Hg 0.890 0.398 0.698
Hg3 Hg 0.890 0.602 0.302
Hg4 Hg 0.110 0.698 0.602
Hg5 Hg 0.390 0.198 0.102
Hg6 Hg 0.110 0.302 0.398
Hg7 Hg 0.390 0.802 0.898
Hg8 Hg 0.610 0.898 0.198
Y1 Y 0.500 0.500 0.500
Y2 Y 0.000 0.000 0.000
Nd1 Nd 0.606 0.157 0.411
Nd2 Nd 0.894 0.343 0.089
Nd3 Nd 0.894 0.657 0.911
Nd4 Nd 0.394 0.589 0.157
Nd5 Nd 0.106 0.911 0.343
Nd6 Nd 0.394 0.411 0.843
Nd7 Nd 0.606 0.843 0.589
Nd8 Nd 0.106 0.089 0.657
```



Compound: LiZrPd
Source: Alexandria via LeMat-Bulk
Functional: PBE
Structure: optimized geometry

Values from the calculation:
Energy of formation ... -0.225 eV per atom
M_tot ... 0.000 μB/cell
E above lowest polymorph ... 53 kJ/mol of formula units
E ... -32.66 eV/cell

CIF file:
```
data_LiZrPd
_cell_length_a 3.160
_cell_length_b 3.160
_cell_length_c 11.194
_cell_angle_alpha 98.12
_cell_angle_beta 98.12
_cell_angle_gamma 90.00
_space_group_name_H-M_alt 'P 1'
_space_group_IT_number 1
loop_
_space_group_symop_operation_xyz
'x,y,z'
loop_
_atom_site_label
_atom_site_type_symbol
_atom_site_fract_x
_atom_site_fract_y
_atom_site_fract_z
Zr1 Zr 0.570 0.570 0.141
Zr2 Zr 0.430 0.430 0.859
Pd1 Pd 0.147 0.147 0.294
Pd2 Pd 0.853 0.853 0.706
Li1 Li 0.286 0.286 0.571
Li2 Li 0.714 0.714 0.429
```



Compound: TbSm2Er2Sc
Source: Alexandria via LeMat-Bulk
Functional: PBE
Structure: optimized geometry

Values from the calculation:
Energy of formation ... 0.033 eV per atom
M_tot ... 0.055 μB/cell
E ... -58.66 eV/cell

CIF file:
```
data_TbSm2Er2Sc
_cell_length_a 5.594
_cell_length_b 6.213
_cell_length_c 10.758
_cell_angle_alpha 90.00
_cell_angle_beta 90.00
_cell_angle_gamma 90.00
_space_group_name_H-M_alt 'P 1'
_space_group_IT_number 1
loop_
_space_group_symop_operation_xyz
'x,y,z'
loop_
_atom_site_label
_atom_site_type_symbol
_atom_site_fract_x
_atom_site_fract_y
_atom_site_fract_z
Sc1 Sc 0.000 0.340 0.580
Sc2 Sc 0.000 0.840 0.420
Er1 Er 0.000 0.342 0.912
Er2 Er 0.500 0.167 0.422
Er3 Er 0.000 0.842 0.088
Er4 Er 0.500 0.667 0.578
Tb1 Tb 0.500 0.680 0.256
Tb2 Tb 0.500 0.180 0.744
Sm1 Sm 0.500 0.675 0.917
Sm2 Sm 0.500 0.175 0.083
Sm3 Sm 0.000 0.341 0.258
Sm4 Sm 0.000 0.841 0.742
```



Compound: NdSc2Ti
Source: Alexandria via LeMat-Bulk
Functional: PBE
Structure: optimized geometry

Values from the calculation:
Energy of formation ... 0.149 eV per atom
M_tot ... 2.024 μB/cell
E above lowest polymorph ... 0 kJ/mol of formula units
E ... -24.73 eV/cell

CIF file:
```
data_NdSc2Ti
_cell_length_a 3.570
_cell_length_b 3.570
_cell_length_c 7.966
_cell_angle_alpha 90.00
_cell_angle_beta 90.00
_cell_angle_gamma 90.00
_space_group_name_H-M_alt 'P 1'
_space_group_IT_number 1
loop_
_space_group_symop_operation_xyz
'x,y,z'
loop_
_atom_site_label
_atom_site_type_symbol
_atom_site_fract_x
_atom_site_fract_y
_atom_site_fract_z
Sc1 Sc 0.000 0.000 0.798
Sc2 Sc 0.000 0.000 0.202
Nd1 Nd 0.500 0.500 0.500
Ti1 Ti 0.500 0.500 0.000
```



Compound: TbCeEr
Source: Alexandria via LeMat-Bulk
Functional: PBE
Structure: optimized geometry

Values from the calculation:
Energy of formation ... 0.247 eV per atom
M_tot ... 2.908 μB/cell
E above lowest polymorph ... 53 kJ/mol of formula units
E ... -57.54 eV/cell

CIF file:
```
data_TbCeEr
_cell_length_a 6.203
_cell_length_b 6.203
_cell_length_c 10.592
_cell_angle_alpha 90.00
_cell_angle_beta 90.00
_cell_angle_gamma 116.84
_space_group_name_H-M_alt 'P 1'
_space_group_IT_number 1
loop_
_space_group_symop_operation_xyz
'x,y,z'
loop_
_atom_site_label
_atom_site_type_symbol
_atom_site_fract_x
_atom_site_fract_y
_atom_site_fract_z
Ce1 Ce 0.000 0.500 0.250
Ce2 Ce 0.000 0.500 0.750
Ce3 Ce 0.500 0.000 0.250
Ce4 Ce 0.500 0.000 0.750
Tb1 Tb 0.500 0.500 0.656
Tb2 Tb 0.500 0.500 0.344
Tb3 Tb 0.000 0.000 0.156
Tb4 Tb 0.000 0.000 0.844
Er1 Er 0.157 0.843 0.500
Er2 Er 0.843 0.157 0.500
Er3 Er 0.657 0.343 0.000
Er4 Er 0.343 0.657 0.000
```



Compound: TbCoReSi3
Source: Alexandria via LeMat-Bulk
Functional: PBE
Structure: optimized geometry

Values from the calculation:
M_tot ... 0.000 μB/cell
Formation energy from raw total energies ... -0.257 eV per atom
E ... -83.99 eV/cell

CIF file:
```
data_TbCoReSi3
_cell_length_a 5.910
_cell_length_b 6.137
_cell_length_c 6.660
_cell_angle_alpha 117.44
_cell_angle_beta 90.00
_cell_angle_gamma 90.00
_space_group_name_H-M_alt 'P 1'
_space_group_IT_number 1
loop_
_space_group_symop_operation_xyz
'x,y,z'
loop_
_atom_site_label
_atom_site_type_symbol
_atom_site_fract_x
_atom_site_fract_y
_atom_site_fract_z
Si1 Si 0.250 0.219 0.437
Si2 Si 0.500 0.693 0.000
Si3 Si 0.000 0.693 0.000
Si4 Si 0.750 0.781 0.563
Si5 Si 0.500 0.307 0.000
Si6 Si 0.000 0.307 0.000
Tb1 Tb 0.750 0.248 0.496
Tb2 Tb 0.250 0.752 0.504
Re1 Re 0.750 0.972 0.944
Re2 Re 0.250 0.028 0.056
Co1 Co 0.250 0.395 0.791
Co2 Co 0.750 0.605 0.209
```



Compound: Pr8HOs3Br4
Source: Alexandria via LeMat-Bulk
Functional: PBE
Structure: optimized geometry

Values from the calculation:
M_tot ... 0.000 μB/cell
E ... -93.28 eV/cell

CIF file:
```
data_Pr8HOs3Br4
_cell_length_a 8.180
_cell_length_b 9.221
_cell_length_c 8.176
_cell_angle_alpha 116.27
_cell_angle_beta 120.01
_cell_angle_gamma 90.00
_space_group_name_H-M_alt 'P 1'
_space_group_IT_number 1
loop_
_space_group_symop_operation_xyz
'x,y,z'
loop_
_atom_site_label
_atom_site_type_symbol
_atom_site_fract_x
_atom_site_fract_y
_atom_site_fract_z
H1 H 0.000 0.500 0.000
Pr1 Pr 0.233 0.695 0.962
Pr2 Pr 0.233 0.695 0.466
Pr3 Pr 0.271 0.305 0.038
Pr4 Pr 0.729 0.695 0.962
Pr5 Pr 0.767 0.305 0.038
Pr6 Pr 0.767 0.305 0.534
Pr7 Pr 0.735 0.704 0.469
Pr8 Pr 0.265 0.296 0.531
Br1 Br 0.500 0.000 0.000
Br2 Br 0.000 0.000 0.500
Br3 Br 0.500 0.000 0.500
Br4 Br 0.000 0.000 0.000
Os1 Os 0.000 0.500 0.500
Os2 Os 0.500 0.500 0.000
Os3 Os 0.500 0.500 0.500
```



Compound: LiCo2Ni3
Source: Alexandria via LeMat-Bulk
Functional: PBE
Structure: optimized geometry

Values from the calculation:
Energy of formation ... 0.020 eV per atom
M_tot ... 4.824 μB/cell
E ... -33.35 eV/cell

CIF file:
```
data_LiCo2Ni3
_cell_length_a 2.481
_cell_length_b 2.481
_cell_length_c 10.932
_cell_angle_alpha 90.00
_cell_angle_beta 90.00
_cell_angle_gamma 90.00
_space_group_name_H-M_alt 'P 1'
_space_group_IT_number 1
loop_
_space_group_symop_operation_xyz
'x,y,z'
loop_
_atom_site_label
_atom_site_type_symbol
_atom_site_fract_x
_atom_site_fract_y
_atom_site_fract_z
Li1 Li 0.500 0.500 0.500
Co1 Co 0.500 0.500 0.164
Co2 Co 0.500 0.500 0.836
Ni1 Ni 0.000 0.000 0.320
Ni2 Ni 0.000 0.000 0.000
Ni3 Ni 0.000 0.000 0.680
```



Compound: Ac2PmNdO6
Source: Alexandria via LeMat-Bulk
Functional: PBE
Structure: optimized geometry

Values from the calculation:
M_tot ... 0.000 μB/cell
Formation energy from raw total energies ... -3.311 eV per atom
E ... -161.19 eV/cell

CIF file:
```
data_Ac2PmNdO6
_cell_length_a 6.156
_cell_length_b 6.363
_cell_length_c 8.957
_cell_angle_alpha 90.00
_cell_angle_beta 89.95
_cell_angle_gamma 90.00
_space_group_name_H-M_alt 'P 1'
_space_group_IT_number 1
loop_
_space_group_symop_operation_xyz
'x,y,z'
loop_
_atom_site_label
_atom_site_type_symbol
_atom_site_fract_x
_atom_site_fract_y
_atom_site_fract_z
O1 O 0.808 0.804 0.573
O2 O 0.192 0.196 0.427
O3 O 0.634 0.066 0.249
O4 O 0.134 0.434 0.749
O5 O 0.366 0.934 0.751
O6 O 0.806 0.806 0.928
O7 O 0.308 0.696 0.073
O8 O 0.866 0.566 0.251
O9 O 0.692 0.304 0.927
O10 O 0.306 0.694 0.428
O11 O 0.194 0.194 0.072
O12 O 0.694 0.306 0.572
Ac1 Ac 0.983 0.048 0.750
Ac2 Ac 0.483 0.452 0.250
Ac3 Ac 0.517 0.548 0.750
Ac4 Ac 0.017 0.952 0.250
Nd1 Nd 0.000 0.500 0.000
Nd2 Nd 0.500 0.000 0.500
Pm1 Pm 0.000 0.500 0.500
Pm2 Pm 0.500 0.000 0.000
```